Record 1
Below is crystalline RbTiPt2 at its relaxed geometry, with properties calculated at the PBE level.

Lattice parameters (Å, degrees): 6.852 6.852 6.852 90.00 90.00 90.00
Space group Fm-3m (No. 225)
Inequivalent atoms, fractional coordinates:
Rb1 0.000 0.000 0.000 [4 per cell]
Ti1 0.000 0.000 0.500 [4 per cell]
Pt1 0.250 0.250 0.250 [8 per cell]

Calculated values
VASP energy = -77.966 eV/cell
Fermi-level density of states = 19.0 states/eV per cell
ρ = 10.8 Mg/m³

=====

Record 2
Below is crystalline Rb3TiPt at its relaxed geometry, with properties calculated at the PBE level.

Lattice parameters (Å, degrees): 6.460 6.460 6.460 90.00 90.00 90.00
Space group Pm-3m (No. 221)
Inequivalent atoms, fractional coordinates:
Rb1 0.000 0.000 0.500 [3 per cell]
Ti1 0.500 0.500 0.500 [1 per cell]
Pt1 0.000 0.000 0.000 [1 per cell]

Calculated values
VASP energy = -12.609 eV/cell
Fermi-level density of states = 15.5 states/eV per cell
ρ = 3.1 Mg/m³

=====

Record 3
Below is crystalline RbTiPtW2 at its relaxed geometry, with properties calculated at the PBE level.

Lattice parameters (Å, degrees): 4.667 4.667 5.265 90.00 90.00 90.00
Space group P4/mmm (No. 123)
Inequivalent atoms, fractional coordinates:
Rb1 0.000 0.000 0.000 [1 per cell]
Ti1 0.000 0.000 0.500 [1 per cell]
Pt1 0.500 0.500 0.000 [1 per cell]
W1 0.000 0.500 0.500 [2 per cell]

Calculated values
VASP energy = -29.886 eV/cell
Fermi-level density of states = 5.1 states/eV per cell
ρ = 10.1 Mg/m³

=====

Record 4
Below is crystalline Rb2YTiPt at its relaxed geometry, with properties calculated at the PBE level.

Lattice parameters (Å, degrees): 5.784 5.784 5.819 90.00 90.00 90.00
Space group P4/mmm (No. 123)
Inequivalent atoms, fractional coordinates:
Rb1 0.000 0.500 0.000 [2 per cell]
Y1 0.000 0.000 0.500 [1 per cell]
Ti1 0.000 0.000 0.000 [1 per cell]
Pt1 0.500 0.500 0.500 [1 per cell]

Calculated values
VASP energy = -15.461 eV/cell
Fermi-level density of states = 4.2 states/eV per cell
ρ = 4.3 Mg/m³

=====

Record 5
Below is crystalline Rb2Tl4Pt3 at its relaxed geometry, with properties calculated at the PBE level.

Lattice parameters (Å, degrees): 13.765 12.753 7.059 90.00 120.77 90.00
Space group C2/c (No. 15)
Inequivalent atoms, fractional coordinates:
Rb1 0.250 0.117 0.209 [8 per cell]
Tl1 0.096 0.139 0.533 [8 per cell]
Tl2 0.097 0.362 0.160 [8 per cell]
Pt1 0.000 0.034 0.750 [4 per cell]
Pt2 0.000 0.250 0.750 [4 per cell]
Pt3 0.000 0.466 0.750 [4 per cell]

Calculated values
VASP energy = -123.013 eV/cell
Fermi-level density of states = 15.2 states/eV per cell
ρ = 9.8 Mg/m³

=====

Record 6
Below is crystalline RbTl4Pt at its relaxed geometry, with properties calculated at the PBE level.

Lattice parameters (Å, degrees): 4.789 18.752 8.027 90.00 90.00 90.00
Space group Cmcm (No. 63)
Inequivalent atoms, fractional coordinates:
Rb1 0.000 0.123 0.250 [4 per cell]
Tl1 0.000 0.073 0.750 [4 per cell]
Tl2 0.000 0.312 0.047 [8 per cell]
Tl3 0.000 0.500 0.000 [4 per cell]
Pt1 0.000 0.224 0.750 [4 per cell]

Calculated values
VASP energy = -68.275 eV/cell
Fermi-level density of states = 13.4 states/eV per cell
ρ = 10.1 Mg/m³

=====

Record 7
Below is crystalline Rb6TlPt at its relaxed geometry, with properties calculated at the PBE level.

Lattice parameters (Å, degrees): 4.721 14.116 15.437 90.00 90.00 90.00
Space group Amm2 (No. 38)
Inequivalent atoms, fractional coordinates:
Rb1 0.000 0.000 0.000 [2 per cell]
Rb2 0.000 0.142 0.706 [4 per cell]
Rb3 0.500 0.000 0.274 [2 per cell]
Rb4 0.500 0.209 0.472 [4 per cell]
Tl1 0.000 0.000 0.490 [2 per cell]
Pt1 0.500 0.000 0.583 [2 per cell]

Calculated values
VASP energy = -29.167 eV/cell
Fermi-level density of states = 9.0 states/eV per cell
ρ = 2.9 Mg/m³

=====

Record 8
Below is crystalline Rb2Tl5Pt4 at its relaxed geometry, with properties calculated at the PBE level.

Lattice parameters (Å, degrees): 12.095 8.276 8.416 90.00 125.49 90.00
Space group C2/m (No. 12)
Inequivalent atoms, fractional coordinates:
Rb1 0.090 0.000 0.348 [4 per cell]
Tl1 0.000 0.500 0.500 [2 per cell]
Tl2 0.183 0.295 0.126 [8 per cell]
Pt1 0.036 0.500 0.201 [4 per cell]
Pt2 0.223 0.500 0.884 [4 per cell]

Calculated values
VASP energy = -78.107 eV/cell
Fermi-level density of states = 6.1 states/eV per cell
ρ = 9.6 Mg/m³